(w)
Below is TlHS2 after structural relaxation, with properties calculated at the GGA-PBE level.

```
TlHS2
1.0
6.986 0.000 0.000
0.000 9.590 0.300
0.000 -4.561 5.623
Tl S H
4 8 4
direct
0.684 0.174 0.380 Tl
0.184 0.326 0.120 Tl
0.816 0.674 0.880 Tl
0.316 0.826 0.620 Tl
0.108 0.633 0.270 S
0.639 0.646 0.525 S
0.392 0.133 0.770 S
0.139 0.854 0.975 S
0.361 0.354 0.475 S
0.608 0.867 0.230 S
0.892 0.367 0.730 S
0.861 0.146 0.025 S
0.748 0.254 0.012 H
0.752 0.754 0.512 H
0.248 0.246 0.488 H
0.252 0.746 0.988 H
```

Total moment in μB per formula unit: 0.0



(x)
Below is TlHS2 after structural relaxation, with properties calculated at the GGA-PBE level.

```
TlHS2
1.0
-2.169 2.059 -4.462
1.372 -4.429 -2.711
-5.072 -3.399 -2.336
Tl S H
2 4 2
direct
0.750 0.250 0.500 Tl
0.000 0.000 0.000 Tl
0.549 0.125 0.250 S
0.201 0.625 0.250 S
0.875 0.799 0.750 S
0.375 0.451 0.750 S
0.250 0.750 0.500 H
0.500 0.500 0.000 H
```

Total moment in μB per formula unit: 0.0



The structure with the greatest stability is (w).



(w)
Below is TlHS2 after structural relaxation, with properties calculated at the GGA-PBE level.

```
TlHS2
1.0
0.000 3.299 3.299
3.299 0.000 3.299
3.299 3.299 0.000
H S Tl
1 2 1
direct
0.000 0.000 0.000 H
0.250 0.250 0.250 S
0.750 0.750 0.750 S
0.500 0.500 0.500 Tl
```

Total moment in μB per formula unit: 1.0



(x)
Below is TlHS2 after structural relaxation, with properties calculated at the GGA-PBE level.

```
TlHS2
1.0
-3.416 0.317 5.576
-1.232 -3.106 5.630
0.534 0.443 6.510
S H Tl
2 1 1
direct
0.089 0.089 0.089 S
0.911 0.911 0.911 S
0.000 0.000 0.000 H
0.500 0.500 0.500 Tl
```

Total moment in μB per formula unit: 0.0



The structure with the greatest stability is (x).



(w)
Below is Tl2HS2 after structural relaxation, with properties calculated at the GGA-PBE level.

```
Tl2HS2
1.0
7.486 0.000 0.000
0.000 7.486 0.000
0.000 0.000 3.786
S H Tl
4 2 4
direct
0.356 0.144 0.500 S
0.644 0.856 0.500 S
0.856 0.356 0.500 S
0.144 0.644 0.500 S
0.000 0.000 0.000 H
0.500 0.500 0.000 H
0.172 0.328 0.000 Tl
0.828 0.672 0.000 Tl
0.672 0.172 0.000 Tl
0.328 0.828 0.000 Tl
```

Total moment in μB per formula unit: 0.5



(x)
Below is Tl2HS2 after structural relaxation, with properties calculated at the GGA-PBE level.

```
Tl2HS2
1.0
5.794 0.000 0.000
0.000 5.794 0.000
2.897 2.897 3.255
S H Tl
2 1 2
direct
0.250 0.750 0.500 S
0.750 0.250 0.500 S
0.000 0.000 0.000 H
0.284 0.284 0.433 Tl
0.716 0.716 0.567 Tl
```

Total moment in μB per formula unit: 0.0



The structure with the greatest stability is (x).



(w)
Below is TlHS3 after structural relaxation, with properties calculated at the GGA-PBE level.

```
TlHS3
1.0
-4.944 1.722 0.823
0.458 -1.149 5.153
1.853 4.878 0.923
H S Tl
1 3 1
direct
0.500 0.500 0.500 H
0.000 0.500 0.000 S
0.500 0.000 0.000 S
0.000 0.000 0.500 S
0.000 0.000 0.000 Tl
```

Total moment in μB per formula unit: 4.1



(x)
Below is TlHS3 after structural relaxation, with properties calculated at the GGA-PBE level.

```
TlHS3
1.0
4.357 0.000 0.000
0.000 4.357 0.000
0.000 0.000 4.357
H S Tl
1 3 1
direct
0.000 0.000 0.000 H
0.000 0.000 0.500 S
0.500 0.000 0.000 S
0.000 0.500 0.000 S
0.500 0.500 0.500 Tl
```

Total moment in μB per formula unit: 0.0



The structure with the greatest stability is (x).



(w)
Below is TmHS2 after structural relaxation, with properties calculated at the GGA-PBE level.

```
TmHS2
1.0
-2.964 -0.988 2.533
4.028 -2.089 3.900
0.399 6.037 2.822
H S Tm
2 4 2
direct
0.000 0.830 0.459 H
0.500 0.170 0.959 H
0.500 0.489 0.145 S
0.000 0.511 0.645 S
0.000 0.009 0.326 S
0.500 0.991 0.826 S
0.000 0.717 0.993 Tm
0.500 0.283 0.493 Tm
```

Total moment in μB per formula unit: 0.0



(x)
Below is TmHS2 after structural relaxation, with properties calculated at the GGA-PBE level.

```
TmHS2
1.0
4.020 0.000 0.000
2.010 3.481 0.000
2.010 1.160 6.069
S H Tm
2 1 1
direct
0.090 0.090 0.731 S
0.910 0.910 0.269 S
0.000 0.000 0.000 H
0.500 0.500 0.500 Tm
```

Total moment in μB per formula unit: 0.0



The structure with the greatest stability is (w).



(w)
Below is VH3S after structural relaxation, with properties calculated at the GGA-PBE level.

```
VH3S
1.0
-2.846 -1.808 0.724
1.684 -1.640 2.524
-0.979 2.436 2.237
H V S
3 1 1
direct
0.000 0.000 0.500 H
0.500 0.000 0.000 H
0.000 0.500 0.000 H
0.000 0.000 0.000 V
0.500 0.500 0.500 S
```

Total moment in μB per formula unit: 0.6



(x)
Below is VH3S after structural relaxation, with properties calculated at the GGA-PBE level.

```
VH3S
1.0
-0.251 0.936 3.199
0.924 -3.063 0.969
3.203 0.957 -0.029
S V H
1 1 3
direct
0.000 0.000 0.000 S
0.500 0.500 0.500 V
0.000 0.000 0.500 H
0.000 0.500 0.000 H
0.500 0.000 0.000 H
```

Total moment in μB per formula unit: 0.0



The structure with the greatest stability is (w).



(w)
Below is H2WS after structural relaxation, with properties calculated at the GGA-PBE level.

```
H2WS
1.0
-1.532 -3.361 0.308
-2.435 -0.686 2.708
-3.584 -0.484 -0.809
W H S
1 2 1
direct
0.500 0.500 0.500 W
0.250 0.250 0.250 H
0.750 0.750 0.750 H
0.000 0.000 0.000 S
```

Total moment in μB per formula unit: 0.0



(x)
Below is H2WS after structural relaxation, with properties calculated at the GGA-PBE level.

```
H2WS
1.0
2.799 0.000 0.000
1.399 2.424 0.000
1.399 0.808 8.298
H S W
2 1 1
direct
0.858 0.858 0.426 H
0.142 0.142 0.574 H
0.500 0.500 0.500 S
0.000 0.000 0.000 W
```

Total moment in μB per formula unit: 0.0



(y)
Below is H2WS after structural relaxation, with properties calculated at the GGA-PBE level.

```
H2WS
1.0
6.021 0.000 0.000
0.000 6.021 0.000
3.010 3.010 2.298
H W S
4 2 2
direct
0.875 0.967 0.750 H
0.717 0.125 0.250 H
0.033 0.625 0.250 H
0.375 0.283 0.750 H
0.750 0.250 0.500 W
0.000 0.000 0.000 W
0.250 0.750 0.500 S
0.500 0.500 0.000 S
```

Total moment in μB per formula unit: 0.0



The structure with the greatest stability is (y).



(w)
Below is Y2HS after structural relaxation, with properties calculated at the GGA-PBE level.

```
Y2HS
1.0
3.713 0.000 0.000
1.857 3.216 0.000
1.857 1.072 7.037
Y S H
2 1 1
direct
0.268 0.268 0.197 Y
0.096 0.096 0.711 Y
0.682 0.682 0.955 S
0.454 0.454 0.637 H
```

Total moment in μB per formula unit: 0.3



(x)
Below is Y2HS after structural relaxation, with properties calculated at the GGA-PBE level.

```
Y2HS
1.0
6.572 0.000 0.000
0.000 6.572 0.000
3.286 3.286 3.528
Y S H
4 2 2
direct
0.564 0.125 0.250 Y
0.875 0.814 0.750 Y
0.186 0.625 0.250 Y
0.375 0.436 0.750 Y
0.750 0.250 0.500 S
0.000 0.000 0.000 S
0.500 0.500 0.000 H
0.250 0.750 0.500 H
```

Total moment in μB per formula unit: 0.0



The structure with the greatest stability is (w).



(w)
Below is YH3S after structural relaxation, with properties calculated at the GGA-PBE level.

```
YH3S
1.0
-3.237 1.325 -1.967
-1.303 -3.775 -0.398
-1.982 0.318 3.475
Y S H
1 1 3
direct
0.000 0.000 0.000 Y
0.500 0.500 0.500 S
0.000 0.500 0.000 H
0.500 0.000 0.000 H
0.000 0.000 0.500 H
```

Total moment in μB per formula unit: 0.0



(x)
Below is YH3S after structural relaxation, with properties calculated at the GGA-PBE level.

```
YH3S
1.0
3.749 0.000 0.000
0.000 3.749 0.000
0.000 0.000 3.749
S H Y
1 3 1
direct
0.000 0.000 0.000 S
0.000 0.000 0.500 H
0.000 0.500 0.000 H
0.500 0.000 0.000 H
0.500 0.500 0.500 Y
```

Total moment in μB per formula unit: 0.0



The structure with the greatest stability is (w).



(w)
Below is YH2S after structural relaxation, with properties calculated at the GGA-PBE level.

```
YH2S
1.0
0.000 2.883 2.883
2.883 0.000 2.883
2.883 2.883 0.000
Y S H
1 1 2
direct
0.500 0.500 0.500 Y
0.000 0.000 0.000 S
0.250 0.250 0.250 H
0.750 0.750 0.750 H
```

Total moment in μB per formula unit: 0.0



(x)
Below is YH2S after structural relaxation, with properties calculated at the GGA-PBE level.

```
YH2S
1.0
3.927 0.000 0.000
0.000 3.927 0.000
1.964 1.964 7.309
H S Y
4 2 2
direct
0.375 0.304 0.750 H
0.054 0.625 0.250 H
0.875 0.946 0.750 H
0.696 0.125 0.250 H
0.500 0.500 0.000 S
0.250 0.750 0.500 S
0.750 0.250 0.500 Y
0.000 0.000 0.000 Y
```

Total moment in μB per formula unit: 0.0



The structure with the greatest stability is (w).



(w)
Below is ZnHS2 after structural relaxation, with properties calculated at the GGA-PBE level.

```
ZnHS2
1.0
-1.566 5.540 -2.170
-2.925 5.267 1.246
0.636 6.075 0.738
H Zn S
1 1 2
direct
0.000 0.000 0.000 H
0.500 0.500 0.500 Zn
0.093 0.093 0.093 S
0.907 0.907 0.907 S
```

Total moment in μB per formula unit: 1.0



(x)
Below is ZnHS2 after structural relaxation, with properties calculated at the GGA-PBE level.

```
ZnHS2
1.0
5.087 0.000 0.000
0.000 5.087 0.000
2.543 2.543 4.719
Zn S H
2 4 2
direct
0.750 0.250 0.500 Zn
0.000 0.000 0.000 Zn
0.875 0.820 0.750 S
0.570 0.125 0.250 S
0.180 0.625 0.250 S
0.375 0.430 0.750 S
0.250 0.750 0.500 H
0.500 0.500 0.000 H
```

Total moment in μB per formula unit: 0.0



The structure with the greatest stability is (w).



(w)
Below is Zn2H2S after structural relaxation, with properties calculated at the GGA-PBE level.

```
Zn2H2S
1.0
-2.579 2.768 -0.088
-1.936 -1.717 2.761
-0.141 2.586 4.102
H Zn S
2 2 1
direct
0.330 0.330 0.340 H
0.670 0.670 0.660 H
0.250 0.750 0.500 Zn
0.750 0.250 0.500 Zn
0.000 0.000 0.000 S
```

Total moment in μB per formula unit: 0.0



(x)
Below is Zn2H2S after structural relaxation, with properties calculated at the GGA-PBE level.

```
Zn2H2S
1.0
-0.949 -4.148 -3.421
4.190 1.606 -3.110
2.425 -2.279 2.090
Zn S H
4 2 4
direct
0.811 0.311 0.500 Zn
0.311 0.189 0.500 Zn
0.689 0.811 0.500 Zn
0.189 0.689 0.500 Zn
0.000 0.000 0.000 S
0.500 0.500 0.000 S
0.950 0.550 0.000 H
0.550 0.050 0.000 H
0.050 0.450 0.000 H
0.450 0.950 0.000 H
```

Total moment in μB per formula unit: 0.0



The structure with the greatest stability is (x).